Entry 1:
! CsGaHg2Cl, optimized geometry, DFT PBE; values from VASP
! E_tot: -1.847 eV/atom
! Crystal system: tetragonal
! Magnetization: 0.00 μB/f.u.
&SYSTEM
  ibrav = 0, nat = 5, ntyp = 4
/
ATOMIC_SPECIES
Cs 132.91 Cs.upf
Ga 69.72 Ga.upf
Hg 200.59 Hg.upf
Cl 35.45 Cl.upf
CELL_PARAMETERS angstrom
5.405 0.000 0.000
0.000 5.405 0.000
0.000 0.000 5.999
ATOMIC_POSITIONS crystal
Cs 0.000 0.000 0.000
Ga 0.500 0.500 0.500
Hg 0.000 0.500 0.500
Hg 0.500 0.000 0.500
Cl 0.500 0.500 0.000

***

Entry 2:
! Cs2GaHgCl6, optimized geometry, DFT PBE; values from VASP
! E_tot: -2.925 eV/atom
! Crystal system: tetragonal
! Magnetization: 0.00 μB/f.u.
&SYSTEM
  ibrav = 0, nat = 10, ntyp = 4
/
ATOMIC_SPECIES
Cs 132.91 Cs.upf
Ga 69.72 Ga.upf
Hg 200.59 Hg.upf
Cl 35.45 Cl.upf
CELL_PARAMETERS angstrom
-3.758 3.758 5.342
3.758 -3.758 5.342
3.758 3.758 -5.342
ATOMIC_POSITIONS crystal
Cs 0.250 0.750 0.500
Cs 0.750 0.250 0.500
Ga 0.000 0.000 0.000
Hg 0.500 0.500 0.000
Cl 0.228 0.228 0.000
Cl 0.229 0.229 0.458
Cl 0.229 0.771 0.000
Cl 0.771 0.229 0.000
Cl 0.771 0.771 0.542
Cl 0.772 0.772 0.000

***

Entry 3:
! Cs2GaHg2Cl4, optimized geometry, DFT PBE; values from VASP
! E_tot: -2.570 eV/atom
! Crystal system: tetragonal
! Magnetization: 0.00 μB/f.u.
&SYSTEM
  ibrav = 0, nat = 9, ntyp = 4
/
ATOMIC_SPECIES
Cs 132.91 Cs.upf
Ga 69.72 Ga.upf
Hg 200.59 Hg.upf
Cl 35.45 Cl.upf
CELL_PARAMETERS angstrom
-4.124 4.124 4.217
4.124 -4.124 4.217
4.124 4.124 -4.217
ATOMIC_POSITIONS crystal
Cs 0.250 0.750 0.500
Cs 0.750 0.250 0.500
Ga 0.000 0.000 0.000
Hg 0.326 0.326 0.000
Hg 0.674 0.674 0.000
Cl 0.224 0.224 0.448
Cl 0.224 0.776 0.000
Cl 0.776 0.224 0.000
Cl 0.776 0.776 0.552

***

Entry 4:
! Cs2HoGaCl6, optimized geometry, DFT PBE; values from VASP
! E_tot: -3.948 eV/atom
! Crystal system: cubic
! Magnetization: 0.00 μB/f.u.
&SYSTEM
  ibrav = 0, nat = 10, ntyp = 4
/
ATOMIC_SPECIES
Cs 132.91 Cs.upf
Ho 164.93 Ho.upf
Ga 69.72 Ga.upf
Cl 35.45 Cl.upf
CELL_PARAMETERS angstrom
0.000 5.579 5.579
5.579 0.000 5.579
5.579 5.579 0.000
ATOMIC_POSITIONS crystal
Cs 0.250 0.250 0.250
Cs 0.750 0.750 0.750
Ho 0.000 0.000 0.000
Ga 0.500 0.500 0.500
Cl 0.236 0.236 0.764
Cl 0.236 0.764 0.236
Cl 0.236 0.764 0.764
Cl 0.764 0.236 0.236
Cl 0.764 0.236 0.764
Cl 0.764 0.764 0.236

***

Entry 5:
! CsGa2ICl, optimized geometry, DFT PBE; values from VASP
! E_tot: -2.559 eV/atom
! Crystal system: tetragonal
! Magnetization: 0.00 μB/f.u.
&SYSTEM
  ibrav = 0, nat = 5, ntyp = 4
/
ATOMIC_SPECIES
Cs 132.91 Cs.upf
Ga 69.72 Ga.upf
I 126.90 I.upf
Cl 35.45 Cl.upf
CELL_PARAMETERS angstrom
5.540 0.000 0.000
0.000 5.540 0.000
0.000 0.000 7.221
ATOMIC_POSITIONS crystal
Cs 0.000 0.000 0.000
Ga 0.000 0.500 0.500
Ga 0.500 0.000 0.500
I 0.500 0.500 0.000
Cl 0.000 0.000 0.500

***

Entry 6:
! Cs2GaI6Cl, optimized geometry, DFT PBE; values from VASP
! E_tot: -2.283 eV/atom
! Crystal system: tetragonal
! Magnetization: 0.00 μB/f.u.
&SYSTEM
  ibrav = 0, nat = 10, ntyp = 4
/
ATOMIC_SPECIES
Cs 132.91 Cs.upf
Ga 69.72 Ga.upf
I 126.90 I.upf
Cl 35.45 Cl.upf
CELL_PARAMETERS angstrom
-4.103 4.103 6.509
4.103 -4.103 6.509
4.103 4.103 -6.509
ATOMIC_POSITIONS crystal
Cs 0.250 0.750 0.500
Cs 0.750 0.250 0.500
Ga 0.000 0.000 0.000
I 0.218 0.218 0.000
I 0.243 0.243 0.486
I 0.243 0.757 0.000
I 0.757 0.243 0.000
I 0.757 0.757 0.514
I 0.782 0.782 0.000
Cl 0.500 0.500 0.000

***

Entry 7:
! CsGaICl2, optimized geometry, DFT PBE; values from VASP
! E_tot: -2.986 eV/atom
! Crystal system: tetragonal
! Magnetization: 0.00 μB/f.u.
&SYSTEM
  ibrav = 0, nat = 5, ntyp = 4
/
ATOMIC_SPECIES
Cs 132.91 Cs.upf
Ga 69.72 Ga.upf
I 126.90 I.upf
Cl 35.45 Cl.upf
CELL_PARAMETERS angstrom
5.388 0.000 0.000
0.000 5.388 0.000
0.000 0.000 5.699
ATOMIC_POSITIONS crystal
Cs 0.000 0.000 0.000
Ga 0.500 0.500 0.500
I 0.500 0.500 0.000
Cl 0.000 0.500 0.500
Cl 0.500 0.000 0.500

***

Entry 8:
! Cs2GaICl6, optimized geometry, DFT PBE; values from VASP
! E_tot: -2.969 eV/atom
! Crystal system: tetragonal
! Magnetization: 0.00 μB/f.u.
&SYSTEM
  ibrav = 0, nat = 10, ntyp = 4
/
ATOMIC_SPECIES
Cs 132.91 Cs.upf
Ga 69.72 Ga.upf
I 126.90 I.upf
Cl 35.45 Cl.upf
CELL_PARAMETERS angstrom
-4.137 4.137 5.310
4.137 -4.137 5.310
4.137 4.137 -5.310
ATOMIC_POSITIONS crystal
Cs 0.250 0.750 0.500
Cs 0.750 0.250 0.500
Ga 0.000 0.000 0.000
I 0.500 0.500 0.000
Cl 0.197 0.197 0.395
Cl 0.197 0.803 0.000
Cl 0.259 0.259 0.000
Cl 0.741 0.741 0.000
Cl 0.803 0.197 0.000
Cl 0.803 0.803 0.605

***

Entry 9:
! CsInGa2Cl8, optimized geometry, DFT PBE; values from VASP
! E_tot: -3.337 eV/atom
! Crystal system: trigonal
! Magnetization: 0.00 μB/f.u.
&SYSTEM
  ibrav = 0, nat = 12, ntyp = 4
/
ATOMIC_SPECIES
Cs 132.91 Cs.upf
In 114.82 In.upf
Ga 69.72 Ga.upf
Cl 35.45 Cl.upf
CELL_PARAMETERS angstrom
6.779 0.000 0.000
-3.389 5.871 0.000
0.000 0.000 10.816
ATOMIC_POSITIONS crystal
Cs 0.000 0.000 0.000
In 0.000 0.000 0.500
Ga 0.333 0.667 0.771
Ga 0.667 0.333 0.229
Cl 0.025 0.357 0.707
Cl 0.332 0.975 0.707
Cl 0.333 0.667 0.975
Cl 0.357 0.332 0.293
Cl 0.643 0.668 0.707
Cl 0.667 0.333 0.025
Cl 0.668 0.025 0.293
Cl 0.975 0.643 0.293

***

Entry 10:
! CsK2GaCl6, optimized geometry, DFT PBE; values from VASP
! E_tot: -3.246 eV/atom
! Crystal system: cubic
! Magnetization: 0.00 μB/f.u.
&SYSTEM
  ibrav = 0, nat = 10, ntyp = 4
/
ATOMIC_SPECIES
Cs 132.91 Cs.upf
K 39.10 K.upf
Ga 69.72 Ga.upf
Cl 35.45 Cl.upf
CELL_PARAMETERS angstrom
0.000 5.598 5.598
5.598 0.000 5.598
5.598 5.598 0.000
ATOMIC_POSITIONS crystal
Cs 0.000 0.000 0.000
K 0.250 0.250 0.250
K 0.750 0.750 0.750
Ga 0.500 0.500 0.500
Cl 0.286 0.286 0.714
Cl 0.286 0.714 0.286
Cl 0.286 0.714 0.714
Cl 0.714 0.286 0.286
Cl 0.714 0.286 0.714
Cl 0.714 0.714 0.286